A plane-wave DFT calculation with PBE-GGA was carried out for a relaxed structure of CsAc3Br10.

Computed properties:
**Size of the total moment**: 0.00 μB/cell
**Raw formation energy**: -2010 meV per atom
**Theoretical density**: 5219 kg/m³

The structure in CIF format:
```
data_CsAc3Br10
_symmetry_space_group_name_H-M 'F m -3 m'
_symmetry_Int_Tables_number 225
_symmetry_space_group_name_Hall '-F 4 2 3'
_cell_length_a 16.013
_cell_length_b 16.013
_cell_length_c 16.013
_cell_angle_alpha 90.00
_cell_angle_beta 90.00
_cell_angle_gamma 90.00
loop_
_atom_site_label
_atom_site_fract_x
_atom_site_fract_y
_atom_site_fract_z
Cs1 0.250 0.250 0.250
Ac1 0.000 0.000 0.239
Br1 0.000 0.169 0.331
Br2 0.115 0.115 0.115
```